(1)
VASP calculation (PBE) on a geometry-optimized SmPu2NpAs4 structure.

DOS(E_F)	32.1	states/eV/f.u.
energy	-73.185	eV/cell
formation energy from the elements	-1.033	eV per atom
space-group type	No. 10

Unit cell a=4.146 b=7.198 c=7.172 alpha=109.38 beta=90.00 gamma=90.00
Positions (direct):
As  0.500  0.247  0.251
As  0.000  0.244  0.746
As  0.500  0.753  0.749
As  0.000  0.756  0.254
Np  0.000  0.000  0.000
Pu  0.500  0.000  0.500
Pu  0.000  0.500  0.500
Sm  0.500  0.500  0.000



(2)
VASP calculation (PBE) on a geometry-optimized Sm2Pu3NpAs6 structure.

DOS(E_F)	37.1	states/eV/f.u.
energy	-104.203	eV/cell
formation energy from the elements	-0.911	eV per atom
space-group type	No. 12

Unit cell a=3.866 b=8.895 c=8.865 alpha=75.75 beta=102.59 gamma=90.00
Positions (direct):
As  0.156  0.419  0.312
As  0.844  0.581  0.688
As  0.001  0.753  0.002
As  0.840  0.077  0.680
As  0.999  0.247  0.998
As  0.160  0.923  0.320
Pu  0.335  0.833  0.671
Pu  0.665  0.167  0.329
Pu  0.500  0.500  0.000
Np  0.500  0.000  0.000
Sm  0.669  0.665  0.338
Sm  0.331  0.335  0.662



(3)
VASP calculation (PBE) on a geometry-optimized SmPuNp2As4 structure.

DOS(E_F)	33.3	states/eV/f.u.
energy	-71.107	eV/cell
formation energy from the elements	-0.947	eV per atom
space-group type	No. 10

Unit cell a=4.127 b=7.139 c=7.213 alpha=109.33 beta=90.00 gamma=90.00
Positions (direct):
Np  0.500  0.000  0.500
Np  0.000  0.500  0.500
As  0.500  0.751  0.745
As  0.000  0.245  0.742
As  0.000  0.755  0.258
As  0.500  0.249  0.255
Pu  0.000  0.000  0.000
Sm  0.500  0.500  0.000



(4)
VASP calculation (PBE) on a geometry-optimized TbPu2NpAs4 structure.

DOS(E_F)	31.6	states/eV/f.u.
energy	-73.135	eV/cell
formation energy from the elements	-1.038	eV per atom
space-group type	No. 10

Unit cell a=4.128 b=7.161 c=7.137 alpha=109.37 beta=90.00 gamma=90.00
Positions (direct):
Np  0.000  0.000  0.000
Pu  0.500  0.000  0.500
Pu  0.000  0.500  0.500
As  0.000  0.753  0.251
As  0.500  0.249  0.249
As  0.500  0.751  0.751
As  0.000  0.247  0.749
Tb  0.500  0.500  0.000



(5)
VASP calculation (PBE) on a geometry-optimized Tb2Pu3NpAs6 structure.

DOS(E_F)	45.5	states/eV/f.u.
energy	-106.476	eV/cell
formation energy from the elements	-1.115	eV per atom
space-group type	No. 12

Unit cell a=4.131 b=8.263 c=9.227 alpha=102.73 beta=102.93 gamma=90.00
Positions (direct):
Np  0.500  0.000  0.000
As  0.334  0.415  0.667
As  0.666  0.585  0.333
As  0.000  0.754  0.001
As  0.334  0.920  0.669
As  0.666  0.080  0.331
As  0.000  0.246  0.999
Pu  0.500  0.500  0.000
Pu  0.832  0.166  0.665
Pu  0.168  0.834  0.335
Tb  0.833  0.666  0.666
Tb  0.167  0.334  0.334



(6)
VASP calculation (PBE) on a geometry-optimized PuTh2NpAs4 structure.

DOS(E_F)	24.9	states/eV/f.u.
energy	-69.787	eV/cell
formation energy from the elements	-1.135	eV per atom
space-group type	No. 10

Unit cell a=4.211 b=7.297 c=7.232 alpha=109.71 beta=90.00 gamma=90.00
Positions (direct):
Np  0.500  0.500  0.000
As  0.000  0.255  0.759
As  0.500  0.248  0.242
As  0.500  0.752  0.758
As  0.000  0.745  0.241
Pu  0.000  0.000  0.000
Th  0.500  0.000  0.500
Th  0.000  0.500  0.500



(7)
VASP calculation (PBE) on a geometry-optimized PuThNp2As4 structure.

DOS(E_F)	32.5	states/eV/f.u.
energy	-73.687	eV/cell
formation energy from the elements	-0.932	eV per atom
space-group type	No. 10

Unit cell a=4.156 b=7.205 c=7.207 alpha=109.43 beta=90.00 gamma=90.00
Positions (direct):
As  0.500  0.247  0.256
As  0.000  0.757  0.258
As  0.000  0.243  0.742
As  0.500  0.753  0.744
Np  0.000  0.500  0.500
Np  0.500  0.000  0.500
Th  0.500  0.500  0.000
Pu  0.000  0.000  0.000



(8)
VASP calculation (PBE) on a geometry-optimized Tm2PuNpAs4 structure.

DOS(E_F)	19.7	states/eV/f.u.
energy	-64.226	eV/cell
formation energy from the elements	-1.177	eV per atom
space-group type	No. 10

Unit cell a=4.095 b=7.098 c=7.068 alpha=109.51 beta=90.00 gamma=90.00
Positions (direct):
As  0.500  0.748  0.749
As  0.500  0.252  0.251
As  0.000  0.251  0.748
As  0.000  0.749  0.252
Tm  0.500  0.000  0.500
Tm  0.000  0.500  0.500
Pu  0.000  0.000  0.000
Np  0.500  0.500  0.000



(9)
VASP calculation (PBE) on a geometry-optimized TmPu2NpAs4 structure.

DOS(E_F)	32.7	states/eV/f.u.
energy	-72.866	eV/cell
formation energy from the elements	-1.024	eV per atom
space-group type	No. 10

Unit cell a=4.105 b=7.104 c=7.111 alpha=109.46 beta=90.00 gamma=90.00
Positions (direct):
Np  0.000  0.000  0.000
As  0.500  0.250  0.246
As  0.000  0.750  0.246
As  0.500  0.750  0.754
As  0.000  0.250  0.754
Pu  0.500  0.000  0.500
Pu  0.000  0.500  0.500
Tm  0.500  0.500  0.000



(10)
VASP calculation (PBE) on a geometry-optimized PuNpU2As4 structure.

DOS(E_F)	24.5	states/eV/f.u.
energy	-74.631	eV/cell
formation energy from the elements	-0.773	eV per atom
space-group type	No. 10

Unit cell a=4.045 b=6.967 c=7.286 alpha=71.21 beta=90.00 gamma=90.00
Positions (direct):
As  0.000  0.247  0.250
As  0.500  0.246  0.752
As  0.500  0.754  0.248
As  0.000  0.753  0.750
Np  0.500  0.500  0.000
Pu  0.000  0.500  0.500
U  0.500  0.000  0.500
U  0.000  0.000  0.000



(11)
VASP calculation (PBE) on a geometry-optimized Pu2NpU3As6 structure.

DOS(E_F)	45.8	states/eV/f.u.
energy	-113.047	eV/cell
formation energy from the elements	-0.807	eV per atom
space-group type	No. 12

Unit cell a=7.031 b=7.031 c=7.225 alpha=99.34 beta=99.34 gamma=120.01
Positions (direct):
U  0.167  0.833  0.500
U  0.500  0.500  0.500
U  0.833  0.167  0.500
As  0.584  0.916  0.747
As  0.416  0.084  0.253
As  0.916  0.584  0.747
As  0.084  0.416  0.253
As  0.753  0.753  0.254
As  0.247  0.247  0.746
Pu  0.334  0.666  0.000
Pu  0.666  0.334  0.000
Np  0.000  0.000  0.000



(12)
VASP calculation (PBE) on a geometry-optimized Pu2NpUAs4 structure.

DOS(E_F)	36.7	states/eV/f.u.
energy	-78.223	eV/cell
formation energy from the elements	-0.842	eV per atom
space-group type	No. 10

Unit cell a=4.089 b=7.077 c=7.212 alpha=109.27 beta=90.00 gamma=90.00
Positions (direct):
Np  0.500  0.500  0.000
As  0.500  0.247  0.246
As  0.000  0.249  0.754
As  0.500  0.753  0.754
As  0.000  0.751  0.246
Pu  0.000  0.500  0.500
Pu  0.500  0.000  0.500
U  0.000  0.000  0.000



(13)
VASP calculation (PBE) on a geometry-optimized PuNp2UAs4 structure.

DOS(E_F)	32.5	states/eV/f.u.
energy	-76.154	eV/cell
formation energy from the elements	-0.757	eV per atom
space-group type	No. 10

Unit cell a=4.089 b=7.090 c=7.144 alpha=109.29 beta=90.00 gamma=90.00
Positions (direct):
Pu  0.000  0.000  0.000
U  0.500  0.500  0.000
Np  0.500  0.000  0.500
Np  0.000  0.500  0.500
As  0.000  0.748  0.249
As  0.500  0.252  0.250
As  0.000  0.252  0.751
As  0.500  0.748  0.750